# 1
Entry from Alexandria: a relaxed structure of TiVGe2 (PBE-GGA).

Calculated values
As for the raw total energy: -6.86 eV/atom. The calculated volume is 245.60 Å³/cell. The value obtained for the formation energy is -0.298 eV per atom. Its space-group type is No. 74. The calculation puts the energy above the most stable polymorph in this dataset at 0.000 eV/atom.

POSCAR file:
```
TiVGe2
1.0
4.825 0.000 0.000
0.000 4.819 0.163
0.000 -0.357 10.550
Ti V Ge
4 4 8
direct
0.250 0.000 0.437
0.750 0.000 0.563
0.250 0.500 0.063
0.750 0.500 0.937
0.250 0.500 0.564
0.750 0.500 0.436
0.250 0.000 0.936
0.750 0.000 0.064
0.750 0.000 0.822
0.250 0.000 0.178
0.750 0.500 0.678
0.250 0.500 0.322
0.750 0.500 0.183
0.250 0.500 0.817
0.750 0.000 0.317
0.250 0.000 0.683
```

---

# 2
Entry from Alexandria: a relaxed structure of LiNpRh2 (PBE-GGA).

Calculated values
As for the raw total energy: -7.75 eV/atom. The calculated volume is 64.60 Å³/cell. The value obtained for the formation energy is -0.360 eV per atom. Its space-group type is No. 123.

POSCAR file:
```
LiNpRh2
1.0
-0.585 3.185 -1.722
1.737 -1.565 -3.485
-3.761 -1.371 -1.259
Np Rh Li
1 2 1
direct
0.500 0.500 0.500
0.000 0.000 0.500
0.000 0.500 0.000
0.500 0.000 0.000
```

---

# 3
Entry from Alexandria: a relaxed structure of NpScRu4 (PBE-GGA).

Calculated values
As for the raw total energy: -9.54 eV/atom. The calculated volume is 102.43 Å³/cell. The value obtained for the formation energy is -0.147 eV per atom. Its space-group type is No. 216. The calculation puts the energy above the most stable polymorph in this dataset at 0.000 eV/atom.

POSCAR file:
```
NpScRu4
1.0
5.252 0.000 0.000
2.626 4.548 0.000
2.626 1.516 4.288
Np Ru Sc
1 4 1
direct
0.250 0.250 0.250
0.625 0.625 0.124
0.625 0.124 0.625
0.625 0.625 0.625
0.124 0.625 0.625
0.000 0.000 0.000
```

---

# 4
Entry from Alexandria: a relaxed structure of PrEr4Si4 (PBE-GGA).

Calculated values
As for the raw total energy: -5.45 eV/atom. The calculated volume is 478.85 Å³/cell. Its space-group type is No. 86.

POSCAR file:
```
PrEr4Si4
1.0
5.664 0.000 0.000
0.000 9.195 0.000
0.000 0.000 9.195
Pr Er Si
2 8 8
direct
0.000 0.000 0.000
0.500 0.500 0.500
0.379 0.351 0.891
0.879 0.609 0.851
0.379 0.649 0.109
0.121 0.149 0.609
0.621 0.891 0.649
0.121 0.851 0.391
0.879 0.391 0.149
0.621 0.109 0.351
0.616 0.796 0.343
0.616 0.204 0.657
0.116 0.843 0.704
0.884 0.296 0.843
0.884 0.704 0.157
0.384 0.343 0.204
0.384 0.657 0.796
0.116 0.157 0.296
```